An optimized crystal structure of Mn5Cr2O12, computed with PBE+U.

```
Mn5Cr2O12
1.0
2.522 -4.526 0.000
2.522 4.526 0.000
-2.291 0.000 9.666
Mn Cr O
5 2 12
Cartesian
0.000 0.000 0.000
2.522 -1.433 0.000
0.819 -2.649 7.037
1.933 -2.649 2.629
1.376 -4.477 4.833
1.376 1.714 4.833
2.522 1.534 0.000
0.754 1.665 1.068
-0.208 1.389 5.933
0.320 0.479 3.637
-0.649 0.028 8.714
-0.390 -1.425 5.843
0.946 -1.579 1.098
2.961 1.389 3.734
1.998 1.665 8.599
2.433 0.479 6.029
3.401 0.028 0.952
1.806 -1.579 8.568
3.142 -1.425 3.823
```

- V: 220.6 Å³ per cell
- DOS at the Fermi energy: 0.02 states/eV/atom
- Crystal system: monoclinic
- Uncorrected energy: -139.75 eV/cell